(1)
CeHo7Tm12: relaxed, PBE.

Results
The value obtained for the formation energy is 766 meV per atom. The distance to the lowest polymorph of the same formula comes out at 508.1 meV per atom.

a = 9.6759 Å, b = 9.6759 Å, c = 9.6759 Å
α = 109.47°, β = 109.47°, γ = 109.47°
Last column: nearest neighbours and their distance in Å.
Element x y z (fractional)
Ce 0.0000 0.0000 0.0000  12 Tm 4.08
Tm 0.7420 0.2586 0.0006  2 Ho 2.80
Tm 0.4834 0.7420 0.7414  2 Ho 2.80
Tm 0.7414 0.4834 0.7420  2 Ho 2.80
Tm 0.2580 0.7414 0.9994  2 Ho 2.80
Tm 0.7414 0.9994 0.2580  2 Ho 2.80
Tm 0.9994 0.2580 0.7414  2 Ho 2.80
Tm 0.2580 0.2586 0.5166  2 Ho 2.80
Tm 0.2586 0.5166 0.2580  2 Ho 2.80
Tm 0.0006 0.7420 0.2586  2 Ho 2.80
Tm 0.7420 0.7414 0.4834  2 Ho 2.80
Tm 0.2586 0.0006 0.7420  2 Ho 2.80
Tm 0.5166 0.2580 0.2586  2 Ho 2.80
Ho 0.5000 0.5000 0.5000  6 Tm 2.80
Ho 0.0000 0.5000 0.0000  6 Tm 2.80
Ho 0.5000 0.0000 0.5000  12 Tm 3.82-3.96
Ho 0.5000 0.0000 0.0000  6 Tm 2.80
Ho 0.5000 0.5000 0.0000  12 Tm 3.82-3.96
Ho 0.0000 0.5000 0.5000  12 Tm 3.82-3.96
Ho 0.0000 0.0000 0.5000  6 Tm 2.80

(2)
CoCuAgS2: relaxed, PBE.

Results
The formation energy (no corrections) comes out at 414 meV per atom.

a = 4.3381 Å, b = 4.6175 Å, c = 4.3381 Å
α = 90.00°, β = 90.00°, γ = 90.00°
Last column: nearest neighbours and their distance in Å.
Element x y z (fractional)
S 0.5000 0.0000 0.0000  2 Co 2.17
S 0.0000 0.0000 0.5000  2 Co 2.17
Co 0.0000 0.0000 0.0000  4 S 2.17, 2 Cu 2.31
Cu 0.0000 0.5000 0.0000  2 Co 2.31
Ag 0.5000 0.5000 0.5000  4 Cu 3.07, 8 S 3.17

(3)
PmNdHo2: relaxed, PBE.

Results
The value obtained for the formation energy is 20 meV per atom. The distance to the lowest polymorph of the same formula comes out at 6.7 meV per atom.

a = 3.6019 Å, b = 3.6019 Å, c = 10.1271 Å
α = 90.00°, β = 90.00°, γ = 90.00°
Last column: nearest neighbours and their distance in Å.
Element x y z (fractional)
Ho 0.0000 0.0000 0.2490  4 Pm 3.58, 4 Nd 3.60, 4 Ho 3.60
Ho 0.0000 0.0000 0.7510  4 Pm 3.58, 4 Nd 3.60, 4 Ho 3.60
Pm 0.5000 0.5000 0.0000  8 Ho 3.58, 4 Pm 3.60
Nd 0.5000 0.5000 0.5000  8 Ho 3.60, 4 Nd 3.60

(4)
Sr3PI: relaxed, PBE.

Results
The formation energy (no corrections) comes out at -793 meV per atom. The distance to the lowest polymorph of the same formula comes out at 0.0 meV per atom.

a = 5.9542 Å, b = 5.9542 Å, c = 5.9542 Å
α = 90.00°, β = 90.00°, γ = 90.00°
Last column: nearest neighbours and their distance in Å.
Element x y z (fractional)
Sr 0.0000 0.0000 0.5000  2 P 2.98
Sr 0.0000 0.5000 0.0000  2 P 2.98
Sr 0.5000 0.0000 0.0000  2 P 2.98
I 0.5000 0.5000 0.5000  12 Sr 4.21
P 0.0000 0.0000 0.0000  6 Sr 2.98

(5)
CaLa15Pr4: relaxed, PBE.

Results
The value obtained for the formation energy is 17 meV per atom.

a = 5.2900 Å, b = 5.2900 Å, c = 26.3955 Å
α = 90.00°, β = 90.00°, γ = 90.00°
Last column: nearest neighbours and their distance in Å.
Element x y z (fractional)
La 0.0000 0.5000 0.8974  2 Pr 3.69, 8 La 3.69-3.79, 2 Ca 3.79
La 0.5000 0.0000 0.7002  8 La 3.73-3.74, 4 Pr 3.73-3.74
La 0.0000 0.5000 0.7002  8 La 3.73-3.74, 4 Pr 3.73-3.74
La 0.5000 0.0000 0.2998  8 La 3.73-3.74, 4 Pr 3.73-3.74
La 0.0000 0.5000 0.5000  4 Pr 3.73, 8 La 3.74
La 0.5000 0.5000 0.6001  8 La 3.74, 4 Pr 3.74
La 0.5000 0.5000 0.3999  8 La 3.74, 4 Pr 3.74
La 0.5000 0.0000 0.5000  4 Pr 3.73, 8 La 3.74
La 0.0000 0.5000 0.2998  8 La 3.73-3.74, 4 Pr 3.73-3.74
La 0.5000 0.5000 0.7997  8 La 3.69-3.73, 4 Pr 3.74
La 0.5000 0.5000 0.0000  4 Ca 3.74, 8 La 3.79
La 0.5000 0.0000 0.8974  2 Pr 3.69, 8 La 3.69-3.79, 2 Ca 3.79
La 0.5000 0.5000 0.2003  8 La 3.69-3.73, 4 Pr 3.74
La 0.0000 0.5000 0.1026  2 Pr 3.69, 8 La 3.69-3.79, 2 Ca 3.79
La 0.5000 0.0000 0.1026  2 Pr 3.69, 8 La 3.69-3.79, 2 Ca 3.79
Pr 0.0000 0.0000 0.2001  12 La 3.69-3.74
Pr 0.0000 0.0000 0.4002  12 La 3.73-3.74
Pr 0.0000 0.0000 0.7999  12 La 3.69-3.74
Pr 0.0000 0.0000 0.5998  12 La 3.73-3.74
Ca 0.0000 0.0000 0.0000  12 La 3.74-3.79

(6)
TlNi2Pd8: relaxed, PBE.

Results
The value obtained for the formation energy is -32 meV per atom.

a = 3.9917 Å, b = 6.2729 Å, c = 7.3098 Å
α = 74.06°, β = 74.16°, γ = 90.00°
Last column: nearest neighbours and their distance in Å.
Element x y z (fractional)
Pd 0.8986 0.5314 0.1715  3 Ni 2.68-2.70, 8 Pd 2.74-2.97, 1 Tl 2.88
Pd 0.1004 0.4692 0.7679  3 Ni 2.68-2.70, 8 Pd 2.74-2.97, 1 Tl 2.88
Pd 0.3524 0.7914 0.2638  3 Ni 2.61-2.66, 6 Pd 2.71-2.90, 2 Tl 2.90
Pd 0.1842 0.9201 0.6003  3 Ni 2.69-2.83, 8 Pd 2.70-2.85, 1 Tl 2.78
Pd 0.5483 0.7246 0.8722  1 Ni 2.70, 9 Pd 2.76-2.96, 2 Tl 2.85
Pd 0.4508 0.2760 0.0672  1 Ni 2.70, 9 Pd 2.76-2.96, 2 Tl 2.85
Pd 0.8148 0.0805 0.3391  3 Ni 2.69-2.83, 8 Pd 2.70-2.85, 1 Tl 2.78
Pd 0.6466 0.2091 0.6756  3 Ni 2.61-2.66, 6 Pd 2.71-2.90, 2 Tl 2.90
Ni 0.2729 0.3612 0.4229  10 Pd 2.61-2.83, 2 Ni 2.85
Ni 0.7261 0.6393 0.5165  10 Pd 2.61-2.83, 2 Ni 2.85
Tl 0.9995 0.0003 0.9697  12 Pd 2.78-2.90

In the order shown, the computed total energy values come out to -3.82 -4.05 -4.65 -3.19 -4.73 -5.07 eV/atom.